# LiHoAs (GGA-PBE, optimized geometry)
# - energy relative to the lowest polymorph listed for this composition (meV per atom) = 0
data_LiHoAs
_chemical_formula_sum 'Li1 Ho1 As1'
_cell_length_a 4.5613
_cell_length_b 4.5613
_cell_length_c 4.5613
_cell_angle_alpha 60.00
_cell_angle_beta 60.00
_cell_angle_gamma 60.00
_space_group_name_H-M_alt 'P 1'
_space_group_IT_number 1
_space_group_name_Hall 'P 1'
loop_
_atom_site_label
_atom_site_type_symbol
_atom_site_fract_x
_atom_site_fract_y
_atom_site_fract_z
Li1 Li 0.0000 0.0000 0.0000
Ho1 Ho 0.5000 0.5000 0.5000
As1 As 0.7500 0.7500 0.7500


# Li2HoNiAs2 (GGA-PBE, optimized geometry)
# - total energy (eV/atom) = -4.581
data_Li2HoNiAs2
_chemical_formula_sum 'Li2 Ho1 Ni1 As2'
_cell_length_a 4.1323
_cell_length_b 4.1323
_cell_length_c 6.4324
_cell_angle_alpha 90.00
_cell_angle_beta 90.00
_cell_angle_gamma 120.00
_space_group_name_H-M_alt 'P 1'
_space_group_IT_number 1
_space_group_name_Hall 'P 1'
loop_
_atom_site_label
_atom_site_type_symbol
_atom_site_fract_x
_atom_site_fract_y
_atom_site_fract_z
Li1 Li 0.3333 0.6667 0.1475
Li2 Li 0.6667 0.3333 0.8525
Ho1 Ho 0.0000 0.0000 0.5000
Ni1 Ni 0.0000 0.0000 0.0000
As1 As 0.3333 0.6667 0.7606
As2 As 0.6667 0.3333 0.2394


# HoLuNi2As2 (GGA-PBE, optimized geometry)
# - energy relative to the lowest polymorph listed for this composition (meV per atom) = 0
data_HoLuNi2As2
_chemical_formula_sum 'Ho2 Lu2 Ni4 As4'
_cell_length_a 4.0377
_cell_length_b 4.0377
_cell_length_c 14.9746
_cell_angle_alpha 90.00
_cell_angle_beta 90.00
_cell_angle_gamma 120.00
_space_group_name_H-M_alt 'P 1'
_space_group_IT_number 1
_space_group_name_Hall 'P 1'
loop_
_atom_site_label
_atom_site_type_symbol
_atom_site_fract_x
_atom_site_fract_y
_atom_site_fract_z
Ho1 Ho 0.0000 0.0000 0.0000
Ho2 Ho 0.0000 0.0000 0.5000
Lu1 Lu 0.0000 0.0000 0.2500
Lu2 Lu 0.0000 0.0000 0.7500
Ni1 Ni 0.3333 0.6667 0.1388
Ni2 Ni 0.3333 0.6667 0.3612
Ni3 Ni 0.6667 0.3333 0.6388
Ni4 Ni 0.6667 0.3333 0.8612
As1 As 0.3333 0.6667 0.6211
As2 As 0.3333 0.6667 0.8789
As3 As 0.6667 0.3333 0.1211
As4 As 0.6667 0.3333 0.3789


# HoMgAs (GGA-PBE, optimized geometry)
# - energy relative to the lowest polymorph listed for this composition (meV per atom) = 0
data_HoMgAs
_chemical_formula_sum 'Ho1 Mg1 As1'
_cell_length_a 4.6775
_cell_length_b 4.6775
_cell_length_c 4.6775
_cell_angle_alpha 60.00
_cell_angle_beta 60.00
_cell_angle_gamma 60.00
_space_group_name_H-M_alt 'P 1'
_space_group_IT_number 1
_space_group_name_Hall 'P 1'
loop_
_atom_site_label
_atom_site_type_symbol
_atom_site_fract_x
_atom_site_fract_y
_atom_site_fract_z
Ho1 Ho 0.0000 0.0000 0.0000
Mg1 Mg 0.5000 0.5000 0.5000
As1 As 0.2500 0.2500 0.2500


# HoMgAsO (GGA-PBE, optimized geometry)
# - total energy (eV/atom) = -5.807
data_HoMgAsO
_chemical_formula_sum 'Ho2 Mg2 As2 O2'
_cell_length_a 3.8506
_cell_length_b 6.0215
_cell_length_c 6.6579
_cell_angle_alpha 90.00
_cell_angle_beta 90.00
_cell_angle_gamma 90.00
_space_group_name_H-M_alt 'P 1'
_space_group_IT_number 1
_space_group_name_Hall 'P 1'
loop_
_atom_site_label
_atom_site_type_symbol
_atom_site_fract_x
_atom_site_fract_y
_atom_site_fract_z
Ho1 Ho 0.0000 0.0434 0.0000
Ho2 Ho 0.0000 0.9566 0.5000
Mg1 Mg 0.5000 0.3657 0.3318
Mg2 Mg 0.5000 0.6343 0.8318
As1 As 0.5000 0.2217 0.7234
As2 As 0.5000 0.7783 0.2234
O1 O 0.0000 0.2483 0.2752
O2 O 0.0000 0.7517 0.7752


# HoMgAsO (GGA-PBE, optimized geometry)
# - total energy (eV/atom) = -5.875
data_HoMgAsO
_chemical_formula_sum 'Ho2 Mg2 As2 O2'
_cell_length_a 4.4293
_cell_length_b 6.0604
_cell_length_c 5.8610
_cell_angle_alpha 90.00
_cell_angle_beta 90.00
_cell_angle_gamma 90.00
_space_group_name_H-M_alt 'P 1'
_space_group_IT_number 1
_space_group_name_Hall 'P 1'
loop_
_atom_site_label
_atom_site_type_symbol
_atom_site_fract_x
_atom_site_fract_y
_atom_site_fract_z
Ho1 Ho 0.0000 0.2311 0.0000
Ho2 Ho 0.0000 0.7689 0.5000
Mg1 Mg 0.5000 0.3915 0.6375
Mg2 Mg 0.5000 0.6085 0.1375
As1 As 0.0000 0.2377 0.4907
As2 As 0.0000 0.7623 0.9907
O1 O 0.5000 0.3200 0.9706
O2 O 0.5000 0.6800 0.4706


# HoMoAs (GGA-PBE, optimized geometry)
# - total energy (eV/atom) = -6.810
data_HoMoAs
_chemical_formula_sum 'Ho1 Mo1 As1'
_cell_length_a 4.4794
_cell_length_b 4.4794
_cell_length_c 4.4794
_cell_angle_alpha 60.00
_cell_angle_beta 60.00
_cell_angle_gamma 60.00
_space_group_name_H-M_alt 'P 1'
_space_group_IT_number 1
_space_group_name_Hall 'P 1'
loop_
_atom_site_label
_atom_site_type_symbol
_atom_site_fract_x
_atom_site_fract_y
_atom_site_fract_z
Ho1 Ho 0.0000 0.0000 0.0000
Mo1 Mo 0.5000 0.5000 0.5000
As1 As 0.2500 0.2500 0.2500


# Ho3As2N (GGA-PBE, optimized geometry)
# - total energy (eV/atom) = -6.641
data_Ho3As2N
_chemical_formula_sum 'Ho3 As2 N1'
_cell_length_a 3.8231
_cell_length_b 3.8231
_cell_length_c 9.7202
_cell_angle_alpha 90.00
_cell_angle_beta 90.00
_cell_angle_gamma 120.00
_space_group_name_H-M_alt 'P 1'
_space_group_IT_number 1
_space_group_name_Hall 'P 1'
loop_
_atom_site_label
_atom_site_type_symbol
_atom_site_fract_x
_atom_site_fract_y
_atom_site_fract_z
Ho1 Ho 0.0000 0.0000 0.0000
Ho2 Ho 0.3333 0.6667 0.3648
Ho3 Ho 0.6667 0.3333 0.6352
As1 As 0.3333 0.6667 0.8194
As2 As 0.6667 0.3333 0.1806
N1 N 0.0000 0.0000 0.5000


# HoAsN2 (GGA-PBE, optimized geometry)
# - total energy (eV/atom) = -6.859
data_HoAsN2
_chemical_formula_sum 'Ho1 As1 N2'
_cell_length_a 3.3571
_cell_length_b 3.3571
_cell_length_c 4.7252
_cell_angle_alpha 90.00
_cell_angle_beta 90.00
_cell_angle_gamma 90.00
_space_group_name_H-M_alt 'P 1'
_space_group_IT_number 1
_space_group_name_Hall 'P 1'
loop_
_atom_site_label
_atom_site_type_symbol
_atom_site_fract_x
_atom_site_fract_y
_atom_site_fract_z
Ho1 Ho 0.0000 0.0000 0.0000
As1 As 0.5000 0.5000 0.5000
N1 N 0.0000 0.0000 0.5000
N2 N 0.5000 0.5000 0.0000


# Ho3AsN2 (GGA-PBE, optimized geometry)
# - total energy (eV/atom) = -7.354
data_Ho3AsN2
_chemical_formula_sum 'Ho3 As1 N2'
_cell_length_a 3.5613
_cell_length_b 3.5613
_cell_length_c 9.3278
_cell_angle_alpha 90.00
_cell_angle_beta 90.00
_cell_angle_gamma 120.00
_space_group_name_H-M_alt 'P 1'
_space_group_IT_number 1
_space_group_name_Hall 'P 1'
loop_
_atom_site_label
_atom_site_type_symbol
_atom_site_fract_x
_atom_site_fract_y
_atom_site_fract_z
Ho1 Ho 0.0000 0.0000 0.0000
Ho2 Ho 0.3333 0.6667 0.2896
Ho3 Ho 0.6667 0.3333 0.7104
As1 As 0.0000 0.0000 0.5000
N1 N 0.3333 0.6667 0.8493
N2 N 0.6667 0.3333 0.1507


# HoAsN2O (GGA-PBE, optimized geometry)
# - total energy (eV/atom) = -7.049
data_HoAsN2O
_chemical_formula_sum 'Ho8 As8 N16 O8'
_cell_length_a 7.8379
_cell_length_b 7.3179
_cell_length_c 11.0050
_cell_angle_alpha 90.00
_cell_angle_beta 134.48
_cell_angle_gamma 90.00
_space_group_name_H-M_alt 'P 1'
_space_group_IT_number 1
_space_group_name_Hall 'P 1'
loop_
_atom_site_label
_atom_site_type_symbol
_atom_site_fract_x
_atom_site_fract_y
_atom_site_fract_z
Ho1 Ho 0.0566 0.2501 0.0245
Ho2 Ho 0.0566 0.2499 0.5245
Ho3 Ho 0.4409 0.7287 0.4632
Ho4 Ho 0.4409 0.7713 0.9632
Ho5 Ho 0.5591 0.2287 0.0368
Ho6 Ho 0.5591 0.2713 0.5368
Ho7 Ho 0.9434 0.7501 0.4755
Ho8 Ho 0.9434 0.7499 0.9755
As1 As 0.0377 0.0017 0.2559
As2 As 0.0377 0.4983 0.7559
As3 As 0.4804 0.5042 0.2159
As4 As 0.4804 0.9958 0.7159
As5 As 0.5196 0.0042 0.2841
As6 As 0.5196 0.4958 0.7841
As7 As 0.9623 0.5017 0.2441
As8 As 0.9623 0.9983 0.7441
N1 N 0.0442 0.7453 0.8213
N2 N 0.0442 0.7547 0.3213
N3 N 0.2098 0.5503 0.7003
N4 N 0.2098 0.9497 0.2003
N5 N 0.2906 0.0624 0.4896
N6 N 0.2906 0.4376 0.9896
N7 N 0.4574 0.2416 0.7792
N8 N 0.4574 0.2584 0.2792
N9 N 0.5426 0.7416 0.7208
N10 N 0.5426 0.7584 0.2208
N11 N 0.7094 0.5624 0.0104
N12 N 0.7094 0.9376 0.5104
N13 N 0.7902 0.0503 0.7997
N14 N 0.7902 0.4497 0.2997
N15 N 0.9558 0.2453 0.6787
N16 N 0.9558 0.2547 0.1787
O1 O 0.2232 0.5516 0.1961
O2 O 0.2232 0.9484 0.6961
O3 O 0.2728 0.0425 0.9726
O4 O 0.2728 0.4575 0.4726
O5 O 0.7272 0.5425 0.5274
O6 O 0.7272 0.9575 0.0274
O7 O 0.7768 0.0516 0.3039
O8 O 0.7768 0.4484 0.8039


# HoAsN2O (GGA-PBE, optimized geometry)
# - total energy (eV/atom) = -7.101
data_HoAsN2O
_chemical_formula_sum 'Ho2 As2 N4 O2'
_cell_length_a 3.3720
_cell_length_b 6.1104
_cell_length_c 5.7186
_cell_angle_alpha 90.00
_cell_angle_beta 90.00
_cell_angle_gamma 90.00
_space_group_name_H-M_alt 'P 1'
_space_group_IT_number 1
_space_group_name_Hall 'P 1'
loop_
_atom_site_label
_atom_site_type_symbol
_atom_site_fract_x
_atom_site_fract_y
_atom_site_fract_z
Ho1 Ho 0.0000 0.1507 0.0000
Ho2 Ho 0.0000 0.8493 0.5000
As1 As 0.5000 0.3362 0.5397
As2 As 0.5000 0.6638 0.0397
N1 N 0.0000 0.2133 0.6010
N2 N 0.0000 0.7867 0.1010
N3 N 0.5000 0.4099 0.8872
N4 N 0.5000 0.5901 0.3872
O1 O 0.5000 0.1068 0.2867
O2 O 0.5000 0.8932 0.7867